Record 1
# PBE NaCaZn2C, relaxed
# energy relative to the elements	1.1994	eV per atom
# total energy	-1.819	eV/atom
data_NaCaZn2C
_chemical_formula_sum 'Na1 Ca1 Zn2 C1'
_cell_length_a 4.999
_cell_length_b 4.999
_cell_length_c 4.549
_cell_angle_alpha 90.00
_cell_angle_beta 90.00
_cell_angle_gamma 90.00
_symmetry_space_group_name_H-M 'P 4/m m m'
_symmetry_Int_Tables_number 123
_symmetry_space_group_name_Hall '-P 4 2'
loop_
_atom_site_label
_atom_site_type_symbol
_atom_site_fract_x
_atom_site_fract_y
_atom_site_fract_z
Na1 Na 0.000 0.000 0.000
Ca1 Ca 0.500 0.500 0.500
Zn1 Zn 0.000 0.500 0.000
C1 C 0.000 0.000 0.500

***

Record 2
# PBE La2HgRu, relaxed
# energy relative to the elements	-0.3570	eV per atom
# total energy	-5.215	eV/atom
data_La2HgRu
_chemical_formula_sum 'La2 Hg1 Ru1'
_cell_length_a 4.611
_cell_length_b 4.156
_cell_length_c 6.145
_cell_angle_alpha 90.00
_cell_angle_beta 111.92
_cell_angle_gamma 90.00
_symmetry_space_group_name_H-M 'P 1 m 1'
_symmetry_Int_Tables_number 6
loop_
_symmetry_equiv_pos_as_xyz
'x,y,z'
'x,-y,z'
loop_
_atom_site_label
_atom_site_type_symbol
_atom_site_fract_x
_atom_site_fract_y
_atom_site_fract_z
La1 La 0.000 0.000 0.000
La2 La 0.304 0.500 0.605
Hg1 Hg 0.599 0.500 0.197
Ru1 Ru 0.791 0.000 0.580

***

Record 3
# PBE ReP2Br, relaxed
# total energy	-6.042	eV/atom
data_ReP2Br
_chemical_formula_sum 'Re2 P4 Br2'
_cell_length_a 2.903
_cell_length_b 3.101
_cell_length_c 20.035
_cell_angle_alpha 90.00
_cell_angle_beta 90.00
_cell_angle_gamma 90.00
_symmetry_space_group_name_H-M 'I m m 2'
_symmetry_Int_Tables_number 44
loop_
_symmetry_equiv_pos_as_xyz
'x,y,z'
'-x,-y,z'
'-x,y,z'
'x,-y,z'
'x+1/2,y+1/2,z+1/2'
'-x+1/2,-y+1/2,z+1/2'
'-x+1/2,y+1/2,z+1/2'
'x+1/2,-y+1/2,z+1/2'
loop_
_atom_site_label
_atom_site_type_symbol
_atom_site_fract_x
_atom_site_fract_y
_atom_site_fract_z
Re1 Re 0.000 0.000 0.000
P1 P 0.000 0.000 0.561
P2 P 0.000 0.500 0.407
Br1 Br 0.000 0.500 0.736